# 1
First-principles (PBE) data for a geometry-optimized Cs4Ce3ScTe8 structure, as listed in the Alexandria database.

Calculated values
* symmetry: No. 166
* total DFT energy (no corrections): -4.597 eV/atom
* D(E_F): 19.9 states/eV/cell
* total magnetization: 3.0 μB per cell

Lattice parameters (Å, degrees): 9.2701 10.3922 9.2717 116.50 119.99 90.00
With the nearest neighbours (Å) after each atom.
Atoms (fractional coordinates):
Cs 0.5000 0.0000 0.0000  6 Te 3.96
Te 0.7794 0.3121 0.0326  1 Sc 3.04, 2 Ce 3.22
Cs 0.5000 0.0000 0.5000  6 Te 3.80-3.81
Te 0.2206 0.6879 0.9674  1 Sc 3.04, 2 Ce 3.22
Te 0.2677 0.3034 0.5354  3 Ce 3.20
Te 0.7323 0.6966 0.4646  3 Ce 3.20
Ce 0.5000 0.5000 0.5000  6 Te 3.20-3.22
Sc 0.0000 0.5000 0.0000  6 Te 3.04
Ce 0.5000 0.5000 0.0000  6 Te 3.20-3.22
Cs 0.0000 0.0000 0.5000  6 Te 3.80-3.81
Te 0.7795 0.3122 0.5590  1 Sc 3.04, 2 Ce 3.22
Te 0.7468 0.6879 0.9674  1 Sc 3.04, 2 Ce 3.22
Cs 0.0000 0.0000 0.0000  6 Te 3.80-3.81
Ce 0.0000 0.5000 0.5000  6 Te 3.20-3.22
Te 0.2205 0.6878 0.4410  1 Sc 3.04, 2 Ce 3.22
Te 0.2532 0.3121 0.0326  1 Sc 3.04, 2 Ce 3.22

---

# 2
First-principles (PBE) data for a geometry-optimized Pm2Pr2Br7 structure, as listed in the Alexandria database.

Calculated values
* symmetry: No. 12
* total DFT energy (no corrections): -4.200 eV/atom
* D(E_F): 7.7 states/eV/cell
* total magnetization: 0.8 μB per cell

Lattice parameters (Å, degrees): 7.9076 7.6341 7.6341 109.04 88.68 88.68
With the nearest neighbours (Å) after each atom.
Atoms (fractional coordinates):
Br 0.7111 0.0075 0.4060  1 Pm 2.85, 2 Pr 3.11-3.18
Br 0.2889 0.9925 0.5940  1 Pm 2.85, 2 Pr 3.11-3.18
Br 0.0000 0.0000 0.0000  2 Pm 2.84
Pr 0.5000 0.6452 0.3548  6 Br 3.11-3.18
Br 0.7792 0.6301 0.6301  2 Pm 2.98-3.01, 2 Pr 3.11
Pm 0.8526 0.2977 0.2977  5 Br 2.84-3.01
Br 0.2889 0.5940 0.9925  1 Pm 2.85, 2 Pr 3.11-3.18
Pm 0.1474 0.7023 0.7023  5 Br 2.84-3.01
Br 0.7111 0.4060 0.0075  1 Pm 2.85, 2 Pr 3.11-3.18
Pr 0.5000 0.3548 0.6452  6 Br 3.11-3.18
Br 0.2208 0.3699 0.3699  2 Pm 2.98-3.01, 2 Pr 3.11